Entry 1:
First-principles (PBE) data for a relaxed Ir2PtW crystal, as listed in OQMD.

Values from the calculation:
Its energy above the most stable polymorph in this dataset is 0.01 eV/f.u. The energy relative to the elements is -0.2584 eV per atom. Its total moment is 0.0 μB per formula unit.

Lattice parameters (Å, degrees): 4.455 5.564 9.680 90.00 90.00 90.00
Space group Amm2 (No. 38)
Asymmetric unit:
Ir  0.000  0.000  0.000 (multiplicity 2)
Ir  0.000  0.248  0.745 (multiplicity 4)
Ir  0.500  0.000  0.664 (multiplicity 2)
Pt  0.500  0.247  0.411 (multiplicity 4)
W  0.000  0.000  0.499 (multiplicity 2)
W  0.500  0.000  0.161 (multiplicity 2)

---

Entry 2:
First-principles (PBE) data for a relaxed Ir3Pt3W2 crystal, as listed in OQMD.

Values from the calculation:
Its energy above the most stable polymorph in this dataset is 0.00 eV/f.u. The energy relative to the elements is -0.2229 eV per atom. Its total moment is 0.0 μB per formula unit.

Lattice parameters (Å, degrees): 5.5776 5.5776 4.4847 90.00 90.00 120.00
Space group P-6m2 (No. 187)
Asymmetric unit:
Ir  0.0054  0.5027  0.0000 (multiplicity 3)
Pt  0.3310  0.1655  0.5000 (multiplicity 3)
W  0.0000  0.0000  0.0000 (multiplicity 1)
W  0.3333  0.6667  0.5000 (multiplicity 1)

---

Entry 3:
First-principles (PBE) data for a relaxed Y3Zn3IrPt2 crystal, as listed in OQMD.

Values from the calculation:
The energy relative to the elements is -0.8675 eV per atom. Its total moment is 0.0 μB per formula unit.

Lattice parameters (Å, degrees): 7.2036 7.2036 3.9484 90.00 90.00 120.00
Space group P-62m (No. 189)
Asymmetric unit:
Y  0.0000  0.5973  0.0000 (multiplicity 3)
Zn  0.0000  0.2433  0.5000 (multiplicity 3)
Ir  0.0000  0.0000  0.0000 (multiplicity 1)
Pt  0.3333  0.6667  0.5000 (multiplicity 2)

---

Entry 4:
First-principles (PBE) data for a relaxed Y3Zn3Ir2Pt crystal, as listed in OQMD.

Values from the calculation:
The energy relative to the elements is -0.7756 eV per atom. Its total moment is 0.0 μB per formula unit.

Lattice parameters (Å, degrees): 7.1799 7.1799 3.9126 90.00 90.00 120.00
Space group P-62m (No. 189)
Asymmetric unit:
Y  0.0000  0.5906  0.0000 (multiplicity 3)
Zn  0.0000  0.2516  0.5000 (multiplicity 3)
Ir  0.3333  0.6667  0.5000 (multiplicity 2)
Pt  0.0000  0.0000  0.0000 (multiplicity 1)

---

Entry 5:
First-principles (PBE) data for a relaxed ZnIrPt2 crystal, as listed in OQMD.

Values from the calculation:
The energy relative to the elements is 0.0193 eV per atom. Its total moment is 0.8 μB per formula unit.

Lattice parameters (Å, degrees): 6.238 6.238 6.238 90.00 90.00 90.00
Space group F-43m (No. 216)
Asymmetric unit:
Zn  0.000  0.000  0.000 (multiplicity 4)
Ir  0.250  0.250  0.250 (multiplicity 4)
Pt  0.000  0.000  0.500 (multiplicity 4)
Pt  0.250  0.250  0.750 (multiplicity 4)

---

Entry 6:
First-principles (PBE) data for a relaxed ZnIrPt crystal, as listed in OQMD.

Values from the calculation:
Its energy above the most stable polymorph in this dataset is 0.00 eV/f.u. The energy relative to the elements is 0.2675 eV per atom. Its total moment is 1.0 μB per formula unit.

Lattice parameters (Å, degrees): 5.984 5.984 5.984 90.00 90.00 90.00
Space group F-43m (No. 216)
Asymmetric unit:
Zn  0.000  0.000  0.000 (multiplicity 4)
Ir  0.250  0.250  0.750 (multiplicity 4)
Pt  0.000  0.000  0.500 (multiplicity 4)